Run i
! PBE KPdSe2Br, optimized geometry; values from VASP
! ρ: 3.0 g/cm3
! SG: P4/mmm
! calculated volume: 212.2 Å³ per cell
&SYSTEM
  ibrav = 0, nat = 5, ntyp = 4
/
ATOMIC_SPECIES
K 39.10 K.upf
Pd 106.42 Pd.upf
Se 78.96 Se.upf
Br 79.90 Br.upf
CELL_PARAMETERS angstrom
6.0082 0.0000 0.0000
0.0000 6.0082 0.0000
0.0000 0.0000 5.8776
ATOMIC_POSITIONS angstrom
K 0.0000 0.0000 0.0000
Pd 3.0041 3.0041 2.9388
Se 0.0000 3.0041 0.0000
Se 3.0041 0.0000 0.0000
Br 0.0000 0.0000 2.9388

---

Run ii
! PBE KPdSe2Br, optimized geometry; values from VASP
! ρ: 4.6 g/cm3
! SG: P4/mmm
! calculated volume: 138.8 Å³ per cell
&SYSTEM
  ibrav = 0, nat = 5, ntyp = 4
/
ATOMIC_SPECIES
K 39.10 K.upf
Pd 106.42 Pd.upf
Se 78.96 Se.upf
Br 79.90 Br.upf
CELL_PARAMETERS angstrom
4.9983 0.0000 0.0000
0.0000 4.9983 0.0000
0.0000 0.0000 5.5564
ATOMIC_POSITIONS angstrom
K 0.0000 0.0000 0.0000
Pd 2.4992 2.4992 2.7782
Se 0.0000 2.4992 2.7782
Se 2.4992 0.0000 2.7782
Br 2.4992 2.4992 0.0000

---

Here is how they stack up, most stable first: run ii, run i.

---

Run i
! PBE K2Pm2Br7, optimized geometry; values from VASP
! ρ: 3.7 g/cm3
! SG: C2/m
! calculated volume: 420.9 Å³ per cell
&SYSTEM
  ibrav = 0, nat = 11, ntyp = 3
/
ATOMIC_SPECIES
K 39.10 K.upf
Pm 145.00 Pm.upf
Br 79.90 Br.upf
CELL_PARAMETERS angstrom
6.1567 -4.5567 0.0000
6.1567 4.5567 0.0000
-0.2847 0.0000 7.5011
ATOMIC_POSITIONS angstrom
K 6.1567 2.3558 0.0000
K 6.1567 -2.3558 0.0000
Pm 2.8205 0.0000 4.1423
Pm 9.2083 0.0000 3.3588
Br -0.1424 0.0000 3.7505
Br 3.3273 1.9418 1.9416
Br 5.2855 0.0000 5.4566
Br 3.3273 -1.9418 1.9416
Br 8.7014 1.9418 5.5595
Br 6.7432 0.0000 2.0445
Br 8.7014 -1.9418 5.5595

---

Run ii
! PBE K2Pm2Br7, optimized geometry; values from VASP
! ρ: 3.8 g/cm3
! SG: Cmmm
! calculated volume: 403.5 Å³ per cell
&SYSTEM
  ibrav = 0, nat = 11, ntyp = 3
/
ATOMIC_SPECIES
K 39.10 K.upf
Pm 145.00 Pm.upf
Br 79.90 Br.upf
CELL_PARAMETERS angstrom
4.7775 -5.4555 0.0000
4.7775 5.4555 0.0000
0.0000 0.0000 7.7412
ATOMIC_POSITIONS angstrom
K 2.3167 0.0000 0.0000
K 7.2383 0.0000 0.0000
Pm 4.7775 2.4133 3.8706
Pm 4.7775 -2.4133 3.8706
Br 0.0000 0.0000 3.8706
Br 2.3887 2.7278 2.0210
Br 2.3887 2.7278 5.7201
Br 2.3887 -2.7278 2.0210
Br 2.3887 -2.7278 5.7201
Br 4.7775 0.0000 2.1205
Br 4.7775 0.0000 5.6206

---

Here is how they stack up, most stable first: run ii, run i.

---

Run i
! PBE K2PtBr4, optimized geometry; values from VASP
! ρ: 4.3 g/cm3
! SG: I4/mmm
! calculated volume: 230.5 Å³ per cell
&SYSTEM
  ibrav = 0, nat = 7, ntyp = 3
/
ATOMIC_SPECIES
K 39.10 K.upf
Pt 195.08 Pt.upf
Br 79.90 Br.upf
CELL_PARAMETERS angstrom
-2.6858 2.6858 7.9883
2.6858 -2.6858 7.9883
2.6858 2.6858 -7.9883
ATOMIC_POSITIONS angstrom
K 0.0000 0.0000 2.1195
K 0.0000 0.0000 13.8572
Pt 0.0000 0.0000 7.9883
Br 2.6858 0.0000 0.0000
Br 0.0000 0.0000 5.4626
Br 0.0000 2.6858 0.0000
Br 0.0000 0.0000 10.5140

---

Run ii
! PBE K2PtBr4, optimized geometry; values from VASP
! ρ: 4.0 g/cm3
! SG: P4/mmm
! calculated volume: 249.0 Å³ per cell
&SYSTEM
  ibrav = 0, nat = 7, ntyp = 3
/
ATOMIC_SPECIES
K 39.10 K.upf
Pt 195.08 Pt.upf
Br 79.90 Br.upf
CELL_PARAMETERS angstrom
7.4806 0.0000 0.0000
0.0000 7.4806 0.0000
0.0000 0.0000 4.4506
ATOMIC_POSITIONS angstrom
K 0.0000 3.7403 0.0000
K 3.7403 0.0000 0.0000
Pt 0.0000 0.0000 2.2253
Br 1.7450 1.7450 2.2253
Br 1.7450 5.7355 2.2253
Br 5.7355 1.7450 2.2253
Br 5.7355 5.7355 2.2253

---

Here is how they stack up, most stable first: run ii, run i.

---

Run i
! PBE KPtBr2, optimized geometry; values from VASP
! ρ: 5.8 g/cm3
! SG: I-4m2
! calculated volume: 112.0 Å³ per cell
&SYSTEM
  ibrav = 0, nat = 4, ntyp = 3
/
ATOMIC_SPECIES
K 39.10 K.upf
Pt 195.08 Pt.upf
Br 79.90 Br.upf
CELL_PARAMETERS angstrom
-2.0359 2.0359 6.7556
2.0359 -2.0359 6.7556
2.0359 2.0359 -6.7556
ATOMIC_POSITIONS angstrom
K 0.0000 0.0000 0.0000
Pt 2.0359 0.0000 3.3778
Br 0.0000 0.0000 6.7556
Br 0.0000 2.0359 3.3778

---

Run ii
! PBE KPtBr2, optimized geometry; values from VASP
! ρ: 6.6 g/cm3
! SG: Fm-3m
! calculated volume: 99.5 Å³ per cell
&SYSTEM
  ibrav = 0, nat = 4, ntyp = 3
/
ATOMIC_SPECIES
K 39.10 K.upf
Pt 195.08 Pt.upf
Br 79.90 Br.upf
CELL_PARAMETERS angstrom
0.0000 3.6781 3.6781
3.6781 0.0000 3.6781
3.6781 3.6781 0.0000
ATOMIC_POSITIONS angstrom
K 0.0000 0.0000 0.0000
Pt 3.6781 3.6781 3.6781
Br 1.8391 1.8391 1.8391
Br 5.5172 5.5172 5.5172

---

Run iii
! PBE KPtBr2, optimized geometry; values from VASP
! ρ: 5.4 g/cm3
! SG: P2/m
! calculated volume: 121.5 Å³ per cell
&SYSTEM
  ibrav = 0, nat = 4, ntyp = 3
/
ATOMIC_SPECIES
K 39.10 K.upf
Pt 195.08 Pt.upf
Br 79.90 Br.upf
CELL_PARAMETERS angstrom
4.6962 0.0000 0.0000
0.0000 3.9526 0.0000
-1.9318 0.0000 6.5475
ATOMIC_POSITIONS angstrom
K 0.0000 0.0000 0.0000
Pt 1.3822 0.0000 3.2737
Br 0.5650 1.9763 4.7287
Br 2.1994 1.9763 1.8188

---

Run iv
! PBE KPtBr2, optimized geometry; values from VASP
! ρ: 5.9 g/cm3
! SG: R-3m
! calculated volume: 110.7 Å³ per cell
&SYSTEM
  ibrav = 0, nat = 4, ntyp = 3
/
ATOMIC_SPECIES
K 39.10 K.upf
Pt 195.08 Pt.upf
Br 79.90 Br.upf
CELL_PARAMETERS angstrom
2.2217 1.2827 6.4743
-2.2217 1.2827 6.4743
0.0000 -2.5654 6.4743
ATOMIC_POSITIONS angstrom
K 0.0000 0.0000 0.0000
Pt 0.0000 0.0000 9.7114
Br 0.0000 0.0000 4.4253
Br 0.0000 0.0000 14.9975

---

Here is how they stack up, most stable first: run iii, run iv, run i, run ii.